a) This record from the Alexandria database describes a geometry-optimized Lu2ScV structure. The functional is PBE.

POSCAR file:
```
Lu2ScV
1.0
5.093 0.000 0.000
0.000 5.093 0.000
0.000 0.000 3.735
Lu Sc V
2 1 1
direct
0.000 0.500 0.000
0.500 0.000 0.000
0.000 0.000 0.500
0.500 0.500 0.500
```

## Properties
- Space-group type: No. 123
- Mass density: 7.64 Mg/m³

***

b) This record from the Alexandria database describes a geometry-optimized Lu2ScV structure. The functional is PBE.

POSCAR file:
```
Lu2ScV
1.0
1.623 0.937 10.987
-1.623 0.937 10.987
0.000 -1.874 10.987
Lu Sc V
2 1 1
direct
0.085 0.085 0.085
0.915 0.915 0.915
0.500 0.500 0.500
0.000 0.000 0.000
```

## Properties
- Space-group type: No. 166
- Mass density: 7.38 Mg/m³

***

Short version: b) is the least stable of them.